## Sm3Mg3Tl2Au (PBE)

Data for Sm3Mg3Tl2Au after structural relaxation.

The structure belongs to space group P-62m (No. 189); the cell edges are 7.6327, 7.6327 and 4.5790 Å and the angles 90.00°, 90.00° and 120.00°. The inequivalent atoms are Sm at (0.0000, 0.4064, 0.0000), Mg at (0.0000, 0.7654, 0.5000), Tl at (0.3333, 0.6667, 0.5000) and Au at (0.0000, 0.0000, 0.0000).

## MgSnAu (PBE)

Data for MgSnAu after structural relaxation.

The structure belongs to space group P-62m (No. 189); the cell edges are 7.7526, 7.7526 and 3.6251 Å and the angles 90.00°, 90.00° and 120.00°. The inequivalent atoms are Mg at (0.0000, 0.2859, 0.0000), Sn at (0.0000, 0.0000, 0.5000), Sn at (0.3333, 0.6667, 0.0000) and Au at (0.0000, 0.6279, 0.5000).

## MgSnAu (PBE)

Data for MgSnAu after structural relaxation.

The structure belongs to space group P-62m (No. 189); the cell edges are 7.4706, 7.4706 and 3.9667 Å and the angles 90.00°, 90.00° and 120.00°. The inequivalent atoms are Mg at (0.0000, 0.6065, 0.0000), Sn at (0.0000, 0.2707, 0.5000), Au at (0.0000, 0.0000, 0.0000) and Au at (0.3333, 0.6667, 0.5000).

## MgSnAu (PBE)

Data for MgSnAu after structural relaxation.

The structure belongs to space group P-62m (No. 189); the cell edges are 7.2353, 7.2353 and 4.4127 Å and the angles 90.00°, 90.00° and 120.00°. The inequivalent atoms are Mg at (0.0000, 0.5456, 0.0000), Sn at (0.0000, 0.0000, 0.0000), Sn at (0.3333, 0.6667, 0.5000) and Au at (0.0000, 0.2525, 0.5000).

## MgSnAu (PBE)

Data for MgSnAu after structural relaxation.

The structure belongs to space group F-43m (No. 216); the cell edges are 6.5052, 6.5052 and 6.5052 Å and the angles 90.00°, 90.00° and 90.00°. The inequivalent atoms are Mg at (0.0000, 0.0000, 0.0000), Sn at (0.0000, 0.0000, 0.5000) and Au at (0.2500, 0.2500, 0.2500).

## MgSnAu (PBE)

Data for MgSnAu after structural relaxation.

The structure belongs to space group P6_3mc (No. 186); the cell edges are 4.4808, 4.4808 and 7.8213 Å and the angles 90.00°, 90.00° and 120.00°. The inequivalent atoms are Mg at (0.0000, 0.0000, 0.0000), Sn at (0.3333, 0.6667, 0.2355) and Au at (0.3333, 0.6667, 0.8765).

## SrMgAu (PBE)

Data for SrMgAu after structural relaxation.

The structure belongs to space group P6_3/mmc (No. 194); the cell edges are 5.3659, 5.3659 and 6.4658 Å and the angles 90.00°, 90.00° and 120.00°. The inequivalent atoms are Sr at (0.3333, 0.6667, 0.2500), Mg at (0.0000, 0.0000, 0.0000) and Au at (0.3333, 0.6667, 0.7500).

## SrMgAu (PBE)

Data for SrMgAu after structural relaxation.

The structure belongs to space group P6_3/mmc (No. 194); the cell edges are 4.7150, 4.7150 and 8.7077 Å and the angles 90.00°, 90.00° and 120.00°. The inequivalent atoms are Sr at (0.0000, 0.0000, 0.0000), Mg at (0.3333, 0.6667, 0.2500) and Au at (0.3333, 0.6667, 0.7500).

## SrMg2Au (PBE)

Data for SrMg2Au after structural relaxation.

The structure belongs to space group F-43m (No. 216); the cell edges are 7.3505, 7.3505 and 7.3505 Å and the angles 90.00°, 90.00° and 90.00°. The inequivalent atoms are Sr at (0.0000, 0.0000, 0.0000), Mg at (0.0000, 0.0000, 0.5000), Mg at (0.2500, 0.2500, 0.7500) and Au at (0.2500, 0.2500, 0.2500).

## SrMgAu (PBE)

Data for SrMgAu after structural relaxation.

The structure belongs to space group P6_3mc (No. 186); the cell edges are 5.2186, 5.2186 and 6.5945 Å and the angles 90.00°, 90.00° and 120.00°. The inequivalent atoms are Sr at (0.3333, 0.6667, 0.0000), Mg at (0.0000, 0.0000, 0.2523) and Au at (0.3333, 0.6667, 0.4960).

## SrMg2TlAu (PBE)

Data for SrMg2TlAu after structural relaxation.

The structure belongs to space group I4mm (No. 107); the cell edges are 4.5076, 4.5076 and 12.8792 Å and the angles 90.00°, 90.00° and 90.00°. The inequivalent atoms are Sr at (0.0000, 0.0000, 0.0000), Mg at (0.0000, 0.5000, 0.2667), Tl at (0.0000, 0.0000, 0.6151) and Au at (0.0000, 0.0000, 0.3896).

## TbMgAu (PBE)

Data for TbMgAu after structural relaxation.

The structure belongs to space group P-62m (No. 189); the cell edges are 7.6950, 7.6950 and 4.0044 Å and the angles 90.00°, 90.00° and 120.00°. The inequivalent atoms are Tb at (0.0000, 0.4101, 0.0000), Mg at (0.0000, 0.7513, 0.5000), Au at (0.0000, 0.0000, 0.0000) and Au at (0.3333, 0.6667, 0.5000).

## TbMgAu4 (PBE)

Data for TbMgAu4 after structural relaxation.

The structure belongs to space group R3m (No. 160, hexagonal axes); the cell edges are 5.5509, 5.5509 and 13.5820 Å and the angles 90.00°, 90.00° and 120.00°. The inequivalent atoms are Tb at (0.0000, 0.0000, 0.0000), Mg at (0.0000, 0.0000, 0.2507), Au at (0.0000, 0.0000, 0.6244) and Au at (0.0010, 0.5005, 0.1249).

## Tb3Mg3TlAu2 (PBE)

Data for Tb3Mg3TlAu2 after structural relaxation.

The structure belongs to space group P-62m (No. 189); the cell edges are 7.5388, 7.5388 and 4.3660 Å and the angles 90.00°, 90.00° and 120.00°. The inequivalent atoms are Tb at (0.0000, 0.5775, 0.0000), Mg at (0.0000, 0.2537, 0.5000), Tl at (0.0000, 0.0000, 0.0000) and Au at (0.3333, 0.6667, 0.5000).

## Tb3Mg3Tl2Au (PBE)

Data for Tb3Mg3Tl2Au after structural relaxation.

The structure belongs to space group P-62m (No. 189); the cell edges are 7.5427, 7.5427 and 4.5197 Å and the angles 90.00°, 90.00° and 120.00°. The inequivalent atoms are Tb at (0.0000, 0.5918, 0.0000), Mg at (0.0000, 0.2354, 0.5000), Tl at (0.3333, 0.6667, 0.5000) and Au at (0.0000, 0.0000, 0.0000).

## TbTmMg2Au4 (PBE)

Data for TbTmMg2Au4 after structural relaxation.

The structure belongs to space group P4/mmm (No. 123); the cell edges are 4.8580, 4.8580 and 6.8730 Å and the angles 90.00°, 90.00° and 90.00°. The inequivalent atoms are Tb at (0.0000, 0.0000, 0.0000), Tm at (0.5000, 0.5000, 0.5000), Mg at (0.0000, 0.0000, 0.5000), Mg at (0.5000, 0.5000, 0.0000) and Au at (0.0000, 0.5000, 0.2548).

## TbMg2ZnAu4 (PBE)

Data for TbMg2ZnAu4 after structural relaxation.

The structure belongs to space group P4/mmm (No. 123); the cell edges are 4.7213, 4.7213 and 6.9115 Å and the angles 90.00°, 90.00° and 90.00°. The inequivalent atoms are Tb at (0.0000, 0.0000, 0.0000), Mg at (0.0000, 0.0000, 0.5000), Mg at (0.5000, 0.5000, 0.0000), Zn at (0.5000, 0.5000, 0.5000) and Au at (0.0000, 0.5000, 0.2711).

## Mg6TlAu (PBE)

Data for Mg6TlAu after structural relaxation.

The structure belongs to space group P-6m2 (No. 187); the cell edges are 6.2436, 6.2436 and 4.9410 Å and the angles 90.00°, 90.00° and 120.00°. The inequivalent atoms are Mg at (0.1680, 0.3359, 0.0000), Mg at (0.5060, 0.0121, 0.5000), Tl at (0.0000, 0.0000, 0.5000) and Au at (0.6667, 0.3333, 0.0000).

## Tm3Mg3Tl2Au (PBE)

Data for Tm3Mg3Tl2Au after structural relaxation.

The structure belongs to space group P-62m (No. 189); the cell edges are 7.4613, 7.4613 and 4.4572 Å and the angles 90.00°, 90.00° and 120.00°. The inequivalent atoms are Tm at (0.0000, 0.5909, 0.0000), Mg at (0.0000, 0.2360, 0.5000), Tl at (0.3333, 0.6667, 0.5000) and Au at (0.0000, 0.0000, 0.0000).

## TmMgAu (PBE)

Data for TmMgAu after structural relaxation.

The structure belongs to space group F-43m (No. 216); the cell edges are 6.7957, 6.7957 and 6.7957 Å and the angles 90.00°, 90.00° and 90.00°. The inequivalent atoms are Tm at (0.0000, 0.0000, 0.0000), Mg at (0.2500, 0.2500, 0.2500) and Au at (0.2500, 0.2500, 0.7500).

| no. | final energy (eV/cell) |
| --- | --- |
| 1 | -31.042 |
| 2 | -27.429 |
| 3 | -29.483 |
| 4 | -28.065 |
| 5 | -40.646 |
| 6 | -19.648 |
| 7 | -15.591 |
| 8 | -16.224 |
| 9 | -36.466 |
| 10 | -15.452 |
| 11 | -25.085 |
| 12 | -34.505 |
| 13 | -66.747 |
| 14 | -32.150 |
| 15 | -30.745 |
| 16 | -31.535 |
| 17 | -26.531 |
| 18 | -16.359 |
| 19 | -29.992 |
| 20 | -36.803 |